No. 1
First-principles (PBE) data for Er2Pa2S7 after structural relaxation, as listed in the Alexandria database.

## Properties
Its excess energy over the best structure of this formula in the dataset is 1.24 eV/f.u. The calculation puts the energy relative to the elements, uncorrected at -1.699 eV/atom. The total DFT energy (no corrections) is -6.881 eV per atom.

a = 4.5867 Å, b = 4.5867 Å, c = 12.9151 Å
α = 90.00°, β = 90.00°, γ = 90.00°
Site moments in Bohr magnetons follow the coordinates.
Element x y z (fractional)
1 Er 0.5000 0.0000 0.8622  0.02
2 Er 0.0000 0.5000 0.1378  0.02
3 Pa 0.5000 0.0000 0.3744  0.93
4 Pa 0.0000 0.5000 0.6256  0.93
5 S 0.5000 0.5000 0.0000  0.00
6 S 0.0000 0.0000 0.2347  -0.02
7 S 0.5000 0.5000 0.2558  -0.02
8 S 0.0000 0.0000 0.5000  -0.04
9 S 0.5000 0.5000 0.5000  -0.04
10 S 0.0000 0.0000 0.7653  -0.02
11 S 0.5000 0.5000 0.7442  -0.02

***

No. 2
First-principles (PBE) data for NiHSe2 after structural relaxation, as listed in the Alexandria database.

## Properties
Its excess energy over the best structure of this formula in the dataset is 0.03 eV/f.u. The total DFT energy (no corrections) is -4.151 eV per atom.

a = 6.9804 Å, b = 6.4463 Å, c = 3.5819 Å
α = 73.52°, β = 89.95°, γ = 66.15°
Element x y z (fractional)
1 H 0.3961 0.7365 0.0209
2 H 0.8921 0.8588 0.4701
3 Se 0.2557 0.4519 0.6670
4 Se 0.0324 0.1436 0.8249
5 Se 0.6285 0.5682 0.1066
6 Se 0.6597 0.0270 0.3850
7 Ni 0.1439 0.2978 0.2460
8 Ni 0.6440 0.2977 0.7459

***

No. 3
First-principles (PBE) data for BeCu2Sn after structural relaxation, as listed in the Alexandria database.

## Properties
Its excess energy over the best structure of this formula in the dataset is 0.25 eV/f.u. The total DFT energy (no corrections) is -3.631 eV per atom. Its formation enthalpy at 0 K is 0.3492 eV/atom.

a = 3.8668 Å, b = 3.8668 Å, c = 8.8472 Å
α = 77.38°, β = 77.38°, γ = 90.00°
Element x y z (fractional)
1 Be 0.5000 0.5000 0.0000
2 Be 0.2500 0.7500 0.5000
3 Sn 0.0000 0.0000 0.0000
4 Sn 0.7500 0.2500 0.5000
5 Cu 0.5715 0.1250 0.2500
6 Cu 0.1785 0.6250 0.2500
7 Cu 0.3750 0.4285 0.7500
8 Cu 0.8750 0.8215 0.7500

***

No. 4
First-principles (PBE) data for Pr6Zn2Cd after structural relaxation, as listed in the Alexandria database.

## Properties
The total DFT energy (no corrections) is -3.732 eV per atom. Its formation enthalpy at 0 K is -0.1612 eV/atom.

a = 8.9315 Å, b = 8.9315 Å, c = 8.9315 Å
α = 107.80°, β = 111.34°, γ = 109.29°
Element x y z (fractional)
1 Pr 0.5472 0.7313 0.8160
2 Pr 0.4528 0.2687 0.1840
3 Pr 0.0847 0.2687 0.8160
4 Pr 0.9153 0.7313 0.1840
5 Pr 0.7938 0.7535 0.5473
6 Pr 0.2062 0.2465 0.4527
7 Pr 0.2062 0.7535 0.9596
8 Pr 0.7938 0.2465 0.0404
9 Pr 0.7195 0.4009 0.6814
10 Pr 0.2805 0.5991 0.3186
11 Pr 0.2805 0.9619 0.6814
12 Pr 0.7195 0.0381 0.3186
13 Zn 0.5000 0.3780 0.8780
14 Zn 0.5000 0.6220 0.1220
15 Zn 0.6325 0.0000 0.6325
16 Zn 0.3675 0.0000 0.3675
17 Cd 0.0000 0.5000 0.5000
18 Cd 0.0000 0.0000 0.0000

***

no.,ρ (g/cm³),total magnetization (μB/f.u.)
1,6.24,1.984
2,5.16,0.000
3,6.73,0.000
4,6.60,0.000